# 1
## SnSbPb2 (PBE-GGA)

Data for crystalline SnSbPb2 at its relaxed geometry.

abc: 5.5099 5.5099 5.5099
angles: 60.00 60.00 60.00
With the nearest neighbours (Å) after each atom.
Sites, in units of the cell vectors:
Sn 0.0000 0.0000 0.0000  8 Pb 3.37
Sb 0.5000 0.5000 0.5000  8 Pb 3.37
Pb 0.2500 0.2500 0.2500  4 Sb 3.37, 4 Sn 3.37
Pb 0.7500 0.7500 0.7500  4 Sb 3.37, 4 Sn 3.37

## Properties
The formation energy without anion corrections is 0.09 eV per atom. Its crystal system is cubic. The value obtained for the mass density is 9.19 g/cm3. As for the total energy: -3.790 eV per atom. For the offset from the most stable computed form, the calculation gives 28 meV per atom.

---

# 2
## SnSb2Pb2 (PBE-GGA)

Data for crystalline SnSb2Pb2 at its relaxed geometry.

abc: 8.5208 8.5208 4.3052
angles: 90.00 90.00 90.00
With the nearest neighbours (Å) after each atom.
Sites, in units of the cell vectors:
Sn 0.0000 0.0000 0.0000  4 Sb 3.21
Sn 0.5000 0.5000 0.0000  4 Sb 3.21
Sb 0.1589 0.3411 0.0000  6 Pb 3.19-3.37, 2 Sn 3.21
Sb 0.3411 0.8411 0.0000  6 Pb 3.19-3.37, 2 Sn 3.21
Sb 0.6589 0.1589 0.0000  6 Pb 3.19-3.37, 2 Sn 3.21
Sb 0.8411 0.6589 0.0000  6 Pb 3.19-3.37, 2 Sn 3.21
Pb 0.1454 0.6454 0.5000  6 Sb 3.19-3.37, 1 Pb 3.50
Pb 0.3546 0.1454 0.5000  6 Sb 3.19-3.37, 1 Pb 3.50
Pb 0.6454 0.8546 0.5000  6 Sb 3.19-3.37, 1 Pb 3.50
Pb 0.8546 0.3546 0.5000  6 Sb 3.19-3.37, 1 Pb 3.50

## Properties
The formation energy without anion corrections is 0.09 eV per atom. Its crystal system is tetragonal. The value obtained for the mass density is 8.25 g/cm3. As for the total energy: -3.838 eV per atom. For the offset from the most stable computed form, the calculation gives 23 meV per atom.

---

# 3
## SnSb2Pb2 (PBE-GGA)

Data for crystalline SnSb2Pb2 at its relaxed geometry.

abc: 9.4552 9.4552 9.4552
angles: 154.18 154.18 36.83
With the nearest neighbours (Å) after each atom.
Sites, in units of the cell vectors:
Sn 0.0000 0.0000 0.0000  8 Pb 3.44
Sb 0.2500 0.7500 0.5000  4 Sb 2.99
Sb 0.7500 0.2500 0.5000  4 Sb 2.99
Pb 0.4045 0.4045 0.0000  1 Pb 3.43, 4 Sn 3.44, 4 Sb 3.48
Pb 0.5955 0.5955 0.0000  1 Pb 3.43, 4 Sn 3.44, 4 Sb 3.48

## Properties
The formation energy without anion corrections is 0.16 eV per atom. Its crystal system is tetragonal. The value obtained for the mass density is 8.06 g/cm3. As for the total energy: -3.777 eV per atom. For the offset from the most stable computed form, the calculation gives 84 meV per atom.

---

# 4
## SnSbPb3 (PBE-GGA)

Data for crystalline SnSbPb3 at its relaxed geometry.

abc: 4.1266 6.1893 12.7420
angles: 94.96 90.07 108.79
With the nearest neighbours (Å) after each atom.
Sites, in units of the cell vectors:
Sn 0.1622 0.3204 0.0442  2 Sn 3.22-3.23, 7 Pb 3.31-3.58
Sn 0.8378 0.6796 0.9558  2 Sn 3.22-3.23, 7 Pb 3.31-3.58
Sb 0.3427 0.6619 0.4521  2 Sb 3.05-3.21, 4 Pb 3.32-3.39
Sb 0.6573 0.3381 0.5479  2 Sb 3.05-3.21, 4 Pb 3.32-3.39
Pb 0.0202 0.0764 0.3680  5 Sb 3.32-3.50, 5 Pb 3.56-3.66
Pb 0.2465 0.4976 0.7560  2 Sn 3.37-3.38, 2 Sb 3.39-3.45, 6 Pb 3.53-3.77
Pb 0.4547 0.9151 0.1387  5 Sn 3.31-3.58, 5 Pb 3.53-3.66
Pb 0.5453 0.0849 0.8613  5 Sn 3.31-3.58, 5 Pb 3.53-3.66
Pb 0.7535 0.5024 0.2440  2 Sn 3.37-3.38, 2 Sb 3.39-3.45, 6 Pb 3.53-3.77
Pb 0.9798 0.9236 0.6320  5 Sb 3.32-3.50, 5 Pb 3.56-3.66

## Properties
The formation energy without anion corrections is 0.05 eV per atom. Its crystal system is triclinic. The value obtained for the mass density is 9.33 g/cm3. As for the total energy: -3.802 eV per atom. For the offset from the most stable computed form, the calculation gives 0 meV per atom.

---

# 5
## Sn3Sb4Pb (PBE-GGA)

Data for crystalline Sn3Sb4Pb at its relaxed geometry.

abc: 7.6553 7.6553 4.3785
angles: 90.05 90.05 70.43
With the nearest neighbours (Å) after each atom.
Sites, in units of the cell vectors:
Sn 0.0000 0.0000 0.0000  6 Sb 3.06-3.07
Sn 0.0000 0.5000 0.5000  6 Sb 3.11-3.13
Sn 0.5000 0.0000 0.5000  6 Sb 3.11-3.13
Sb 0.2417 0.7583 0.5000  4 Sn 3.06-3.13, 2 Pb 3.16
Sb 0.2452 0.2452 0.0002  5 Sn 3.07-3.11, 1 Pb 3.19
Sb 0.7548 0.7548 0.9998  5 Sn 3.07-3.11, 1 Pb 3.19
Sb 0.7583 0.2417 0.5000  4 Sn 3.06-3.13, 2 Pb 3.16
Pb 0.5000 0.5000 0.0000  6 Sb 3.16-3.19

## Properties
The formation energy without anion corrections is 0.02 eV per atom. Its crystal system is monoclinic. The value obtained for the mass density is 7.21 g/cm3. As for the total energy: -4.001 eV per atom.

---

# 6
## Sn2Sb3Pb3 (PBE-GGA)

Data for crystalline Sn2Sb3Pb3 at its relaxed geometry.

abc: 9.4970 9.4970 6.6377
angles: 90.00 90.00 120.00
With the nearest neighbours (Å) after each atom.
Sites, in units of the cell vectors:
Sn 0.3333 0.6667 0.0000  2 Sn 3.32, 6 Sb 3.43
Sn 0.3333 0.6667 0.5000  2 Sn 3.32, 6 Sb 3.43
Sn 0.6667 0.3333 0.0000  2 Sn 3.32, 6 Sb 3.43
Sn 0.6667 0.3333 0.5000  2 Sn 3.32, 6 Sb 3.43
Sb 0.0000 0.3698 0.2500  5 Pb 3.14-3.38, 4 Sn 3.43
Sb 0.0000 0.6302 0.7500  5 Pb 3.14-3.38, 4 Sn 3.43
Sb 0.3698 0.0000 0.2500  5 Pb 3.14-3.38, 4 Sn 3.43
Sb 0.3698 0.3698 0.7500  5 Pb 3.14-3.38, 4 Sn 3.43
Sb 0.6302 0.0000 0.7500  5 Pb 3.14-3.38, 4 Sn 3.43
Sb 0.6302 0.6302 0.2500  5 Pb 3.14-3.38, 4 Sn 3.43
Pb 0.0000 0.3000 0.7500  5 Sb 3.14-3.38
Pb 0.0000 0.7000 0.2500  5 Sb 3.14-3.38
Pb 0.3000 0.0000 0.7500  5 Sb 3.14-3.38
Pb 0.3000 0.3000 0.2500  5 Sb 3.14-3.38
Pb 0.7000 0.0000 0.2500  5 Sb 3.14-3.38
Pb 0.7000 0.7000 0.7500  5 Sb 3.14-3.38

## Properties
The formation energy without anion corrections is 0.06 eV per atom. Its crystal system is hexagonal. The value obtained for the mass density is 7.84 g/cm3. As for the total energy: -3.877 eV per atom.

---

# 7
## SnSbPb2 (PBE-GGA)

Data for crystalline SnSbPb2 at its relaxed geometry.

abc: 3.8512 3.8512 8.0171
angles: 90.00 90.00 90.00
With the nearest neighbours (Å) after each atom.
Sites, in units of the cell vectors:
Sn 0.0000 0.0000 0.0000  8 Pb 3.43
Sb 0.0000 0.0000 0.5000  8 Pb 3.33
Pb 0.5000 0.5000 0.2603  4 Sb 3.33, 4 Sn 3.43
Pb 0.5000 0.5000 0.7397  4 Sb 3.33, 4 Sn 3.43

## Properties
The formation energy without anion corrections is 0.09 eV per atom. Its crystal system is tetragonal. The value obtained for the mass density is 9.15 g/cm3. As for the total energy: -3.795 eV per atom. For the offset from the most stable computed form, the calculation gives 24 meV per atom.

---

# 8
## Sn2SbPb (PBE-GGA)

Data for crystalline Sn2SbPb at its relaxed geometry.

abc: 4.7575 4.7575 5.1370
angles: 90.00 90.00 90.00
With the nearest neighbours (Å) after each atom.
Sites, in units of the cell vectors:
Sn 0.0000 0.5000 0.0000  4 Sn 3.36, 4 Pb 3.50, 4 Sb 3.50
Sn 0.5000 0.0000 0.0000  4 Sn 3.36, 4 Pb 3.50, 4 Sb 3.50
Sb 0.0000 0.0000 0.5000  4 Pb 3.36, 8 Sn 3.50
Pb 0.5000 0.5000 0.5000  4 Sb 3.36, 8 Sn 3.50

## Properties
The formation energy without anion corrections is 0.09 eV per atom. Its crystal system is tetragonal. The value obtained for the mass density is 8.09 g/cm3. As for the total energy: -3.871 eV per atom. For the offset from the most stable computed form, the calculation gives 12 meV per atom.

---

# 9
## SnSb2Pb (PBE-GGA)

Data for crystalline SnSb2Pb at its relaxed geometry.

abc: 8.1062 8.1062 8.1062
angles: 126.91 126.91 78.40
With the nearest neighbours (Å) after each atom.
Sites, in units of the cell vectors:
Sn 0.0000 0.0000 0.0000  4 Sb 2.88
Sn 0.7500 0.2500 0.5000  4 Sb 2.88
Sb 0.0958 0.6250 0.9708  2 Sn 2.88, 2 Pb 3.14
Sb 0.3750 0.3458 0.4708  2 Sn 2.88, 2 Pb 3.14
Sb 0.6542 0.1250 0.0292  2 Sn 2.88, 2 Pb 3.14
Sb 0.8750 0.9042 0.5292  2 Sn 2.88, 2 Pb 3.14
Pb 0.2500 0.7500 0.5000  4 Sb 3.14
Pb 0.5000 0.5000 0.0000  4 Sb 3.14

## Properties
The formation energy without anion corrections is 0.15 eV per atom. Its crystal system is tetragonal. The value obtained for the mass density is 5.73 g/cm3. As for the total energy: -3.840 eV per atom. For the offset from the most stable computed form, the calculation gives 112 meV per atom.

---

# 10
## SnSb2Pb (PBE-GGA)

Data for crystalline SnSb2Pb at its relaxed geometry.

abc: 4.3955 4.3955 7.8099
angles: 106.67 106.67 60.07
With the nearest neighbours (Å) after each atom.
Sites, in units of the cell vectors:
Sn 0.0000 0.0000 0.0000  6 Sb 3.07-3.08
Sb 0.2552 0.2552 0.7654  3 Sn 3.07-3.08, 3 Pb 3.20-3.21
Sb 0.7448 0.7448 0.2346  3 Sn 3.07-3.08, 3 Pb 3.20-3.21
Pb 0.5000 0.5000 0.5000  6 Sb 3.20-3.21

## Properties
The formation energy without anion corrections is 0.04 eV per atom. Its crystal system is monoclinic. The value obtained for the mass density is 7.66 g/cm3. As for the total energy: -3.952 eV per atom. For the offset from the most stable computed form, the calculation gives 0 meV per atom.

---

> Among the records above, which one has the lowest total energy?

Sn3Sb4Pb

---

> mass density of number 2 (SnSb2Pb2)?

8.25 g/cm3

---

> formation energy without anion corrections of number 10 (SnSb2Pb)?

0.04 eV per atom